[1]
IrRuF3 | SCAN | single point on PBEsol structure

Cell lengths 4.162, 4.162, 4.162 Å; angles 90.00, 90.00, 90.00 degrees
Atoms (fractional coordinates):
Ir 0.000 0.000 0.000
Ru 0.500 0.500 0.500
F 0.000 0.000 0.500
F 0.000 0.500 0.000
F 0.500 0.000 0.000

## Properties
- DOS(E_F): 0.273 states/eV/atom
- Space-group type: Pm-3m (221)
- Formation energy without anion corrections: -11 meV/atom


[2]
TaTc2Pt | SCAN | single point on PBEsol structure

Cell lengths 4.806, 4.806, 4.806 Å; angles 132.04, 132.04, 70.16 degrees
Atoms (fractional coordinates):
Ta 0.000 0.000 0.000
Tc 0.250 0.750 0.500
Tc 0.750 0.250 0.500
Pt 0.500 0.500 0.000

## Properties
- ΔH_f (0 K): -0.278 eV/atom
- DOS(E_F): 0.875 states/eV/atom
- Space-group type: I4/mmm (139)
- Polymorph energy (0 for the lowest one): 133 meV per atom


[3]
KInRh | SCAN | single point on PBEsol structure

Cell lengths 4.770, 4.770, 4.770 Å; angles 60.00, 60.00, 60.00 degrees
Atoms (fractional coordinates):
K 0.000 0.000 0.000
In 0.250 0.250 0.250
Rh 0.500 0.500 0.500

## Properties
- ΔH_f (0 K): 0.538 eV/atom
- DOS(E_F): 0.827 states/eV/atom
- Space-group type: F-43m (216)


[4]
HfIrRu3 | SCAN | single point on PBEsol structure

Cell lengths 4.588, 4.588, 4.588 Å; angles 90.00, 90.00, 90.00 degrees
Atoms (fractional coordinates):
Hf 0.000 0.000 0.000
Ir 0.500 0.500 0.500
Ru 0.000 0.500 0.500
Ru 0.500 0.000 0.500
Ru 0.500 0.500 0.000

## Properties
- ΔH_f (0 K): 1.340 eV/atom
- DOS(E_F): 1.265 states/eV/atom
- Space-group type: Pm-3m (221)


[5]
LiAg2Pb | SCAN | single point on PBEsol structure

Cell lengths 3.032, 4.473, 5.739 Å; angles 90.00, 103.39, 90.00 degrees
Atoms (fractional coordinates):
Li 0.000 0.000 0.000
Ag 0.188 0.500 0.780
Ag 0.812 0.500 0.220
Pb 0.500 0.000 0.500

## Properties
- ΔH_f (0 K): -0.069 eV/atom
- DOS(E_F): 0.274 states/eV/atom
- Space-group type: P2/m (10)


[6]
BaH9IO5 | SCAN | single point on PBEsol structure

Cell lengths 6.184, 7.907, 8.064 Å; angles 88.66, 89.07, 72.54 degrees
Atoms (fractional coordinates):
Ba 0.173 0.217 0.043
Ba 0.827 0.783 0.957
H 0.130 0.685 0.285
H 0.143 0.978 0.728
H 0.165 0.464 0.721
H 0.307 0.818 0.833
H 0.321 0.557 0.819
H 0.322 0.540 0.178
H 0.352 0.803 0.171
H 0.455 0.331 0.309
H 0.493 0.111 0.723
H 0.507 0.889 0.277
H 0.545 0.669 0.691
H 0.648 0.197 0.829
H 0.678 0.460 0.822
H 0.679 0.443 0.181
H 0.693 0.182 0.167
H 0.835 0.536 0.279
H 0.857 0.022 0.272
H 0.870 0.315 0.715
I 0.175 0.214 0.504
I 0.825 0.786 0.496
O 0.165 0.928 0.842
O 0.186 0.505 0.832
O 0.208 0.669 0.175
O 0.440 0.894 0.166
O 0.486 0.355 0.192
O 0.514 0.645 0.808
O 0.560 0.106 0.834
O 0.792 0.331 0.825
O 0.814 0.495 0.168
O 0.835 0.072 0.158

## Properties
- DOS(E_F): 0.000 states/eV/atom
- Space-group type: P-1 (2)
- Calculated total energy: -9.966 eV per atom


[7]
ZrCrAg2 | SCAN | single point on PBEsol structure

Cell lengths 3.331, 3.331, 6.122 Å; angles 90.00, 90.00, 90.00 degrees
Atoms (fractional coordinates):
Zr 0.000 0.000 0.000
Cr 0.500 0.500 0.754
Ag 0.000 0.000 0.516
Ag 0.500 0.500 0.276

## Properties
- ΔH_f (0 K): 0.072 eV/atom
- DOS(E_F): 0.634 states/eV/atom
- Space-group type: P4mm (99)
- Polymorph energy (0 for the lowest one): 5 meV per atom


[8]
Ca2P2Ru | SCAN | single point on PBEsol structure

Cell lengths 6.247, 6.247, 6.247 Å; angles 139.26, 139.26, 58.97 degrees
Atoms (fractional coordinates):
Ca 0.250 0.750 0.500
Ca 0.750 0.250 0.500
P 0.095 0.095 0.000
P 0.905 0.905 0.000
Ru 0.500 0.500 0.000

## Properties
- ΔH_f (0 K): 0.231 eV/atom
- DOS(E_F): 0.616 states/eV/atom
- Space-group type: I4/mmm (139)


[9]
Sb2PbAu | SCAN | single point on PBEsol structure

Cell lengths 7.541, 7.541, 7.541 Å; angles 31.71, 31.71, 31.71 degrees
Atoms (fractional coordinates):
Sb 0.234 0.234 0.234
Sb 0.766 0.766 0.766
Pb 0.000 0.000 0.000
Au 0.500 0.500 0.500

## Properties
- DOS(E_F): 0.583 states/eV/atom
- Space-group type: R-3m (166)
- Formation energy without anion corrections: -80 meV/atom


[10]
In3NiF | SCAN | single point on PBEsol structure

Cell lengths 4.804, 4.804, 4.804 Å; angles 90.00, 90.00, 90.00 degrees
Atoms (fractional coordinates):
In 0.000 0.000 0.500
In 0.000 0.500 0.000
In 0.500 0.000 0.000
Ni 0.000 0.000 0.000
F 0.500 0.500 0.500

## Properties
- DOS(E_F): 0.073 states/eV/atom
- Space-group type: Pm-3m (221)
- Formation energy without anion corrections: -643 meV/atom


[11]
ZrIrPt | SCAN | single point on PBEsol structure

Cell lengths 4.507, 4.507, 2.803 Å; angles 90.00, 90.00, 120.00 degrees
Atoms (fractional coordinates):
Zr 0.000 0.000 0.000
Ir 0.667 0.333 0.300
Pt 0.333 0.667 0.726

## Properties
- ΔH_f (0 K): -0.584 eV/atom
- DOS(E_F): 0.562 states/eV/atom
- Space-group type: P3m1 (156)
- Polymorph energy (0 for the lowest one): 0 meV per atom


[12]
Ga3OsPb | SCAN | single point on PBEsol structure

Cell lengths 4.805, 4.805, 4.805 Å; angles 90.00, 90.00, 90.00 degrees
Atoms (fractional coordinates):
Ga 0.000 0.000 0.500
Ga 0.000 0.500 0.000
Ga 0.500 0.000 0.000
Os 0.000 0.000 0.000
Pb 0.500 0.500 0.500

## Properties
- ΔH_f (0 K): 0.134 eV/atom
- DOS(E_F): 0.571 states/eV/atom
- Space-group type: Pm-3m (221)


Per-record total moment, μB per cell: 2.6 0.0 0.0 0.0 0.0 0.0 2.9 2.0 0.0 0.0 0.0 1.1